Entry 1:
First-principles (GGA-PBE) data for SrTm4Zn5 after structural relaxation, as listed in Alexandria via LeMat-Bulk.

Lattice parameters (Å, degrees): 3.5824 3.5824 17.9981 90.00 90.00 90.00
Fractional coordinates of all 10 atoms:
Sr  0.0000  0.0000  0.0000
Tm  0.0000  0.0000  0.2120
Tm  0.0000  0.0000  0.4044
Tm  0.0000  0.0000  0.5956
Tm  0.0000  0.0000  0.7880
Zn  0.5000  0.5000  0.1229
Zn  0.5000  0.5000  0.3073
Zn  0.5000  0.5000  0.5000
Zn  0.5000  0.5000  0.6927
Zn  0.5000  0.5000  0.8771

Values from the calculation:
For the formation energy from the elements, the calculation gives -3.09 eV/f.u. The density of states at the Fermi level is 7.9 states/eV/cell. As for the final energy: -2.903 eV per atom. Its symmetry is P4/mmm (123).

***

Entry 2:
First-principles (GGA-PBE) data for SrTmZn4 after structural relaxation, as listed in Alexandria via LeMat-Bulk.

Lattice parameters (Å, degrees): 4.5429 4.5429 7.5440 90.00 90.00 120.00
Fractional coordinates of all 6 atoms:
Sr  0.0000  0.0000  0.0000
Tm  0.0000  0.0000  0.5000
Zn  0.3333  0.6667  0.3050
Zn  0.3333  0.6667  0.6950
Zn  0.6667  0.3333  0.3050
Zn  0.6667  0.3333  0.6950

Values from the calculation:
For the excess energy over the best structure of this formula in the dataset, the calculation gives 0 kJ/mol of formula units. For the formation energy from the elements, the calculation gives -1.98 eV/f.u. The density of states at the Fermi level is 4.7 states/eV/cell. As for the final energy: -2.204 eV per atom. Its symmetry is P6/mmm (191).

***

Entry 3:
First-principles (GGA-PBE) data for SrTmZn2 after structural relaxation, as listed in Alexandria via LeMat-Bulk.

Lattice parameters (Å, degrees): 8.9039 8.9039 8.9039 25.40 25.40 25.40
Fractional coordinates of all 4 atoms:
Sr  0.0000  0.0000  0.0000
Tm  0.5000  0.5000  0.5000
Zn  0.2408  0.2408  0.2408
Zn  0.7592  0.7592  0.7592

Values from the calculation:
For the formation energy from the elements, the calculation gives -0.06 eV/f.u. The density of states at the Fermi level is 3.2 states/eV/cell. As for the final energy: -2.190 eV per atom. Its symmetry is R-3m (166).

***

Entry 4:
First-principles (GGA-PBE) data for SrTmZn4 after structural relaxation, as listed in Alexandria via LeMat-Bulk.

Lattice parameters (Å, degrees): 5.5842 5.5842 5.5842 60.00 60.00 60.00
Fractional coordinates of all 6 atoms:
Sr  0.0000  0.0000  0.0000
Tm  0.7500  0.7500  0.7500
Zn  0.3763  0.3763  0.3763
Zn  0.3763  0.3763  0.8712
Zn  0.3763  0.8712  0.3763
Zn  0.8712  0.3763  0.3763

Values from the calculation:
For the excess energy over the best structure of this formula in the dataset, the calculation gives 81 kJ/mol of formula units. For the formation energy from the elements, the calculation gives -1.14 eV/f.u. The density of states at the Fermi level is 4.4 states/eV/cell. As for the final energy: -2.065 eV per atom. Its symmetry is F-43m (216).

***

Entry 5:
First-principles (GGA-PBE) data for SrTm2Zn after structural relaxation, as listed in Alexandria via LeMat-Bulk.

Lattice parameters (Å, degrees): 11.4179 11.4179 11.4179 18.31 18.31 18.31
Fractional coordinates of all 4 atoms:
Sr  0.0000  0.0000  0.0000
Tm  0.1053  0.1053  0.1053
Tm  0.8947  0.8947  0.8947
Zn  0.5000  0.5000  0.5000

Values from the calculation:
For the excess energy over the best structure of this formula in the dataset, the calculation gives 87 kJ/mol of formula units. For the formation energy from the elements, the calculation gives 0.71 eV/f.u. The density of states at the Fermi level is 4.3 states/eV/cell. As for the final energy: -2.798 eV per atom. Its symmetry is R-3m (166).

***

Entry 6:
First-principles (GGA-PBE) data for SrU after structural relaxation, as listed in Alexandria via LeMat-Bulk.

Lattice parameters (Å, degrees): 6.8522 6.8522 6.8522 27.63 27.63 27.63
Fractional coordinates of all 2 atoms:
Sr  0.0000  0.0000  0.0000
U  0.8292  0.8292  0.8292

Values from the calculation:
For the formation energy from the elements, the calculation gives 2.14 eV/f.u. The density of states at the Fermi level is 5.4 states/eV/cell. As for the final energy: -5.415 eV per atom. Its symmetry is R3m (160).

***

Entry 7:
First-principles (GGA-PBE) data for SrU4 after structural relaxation, as listed in Alexandria via LeMat-Bulk.

Lattice parameters (Å, degrees): 5.3058 5.3058 5.3058 90.00 90.00 90.00
Fractional coordinates of all 5 atoms:
Sr  0.0000  0.0000  0.0000
U  0.0000  0.0000  0.5000
U  0.0000  0.5000  0.0000
U  0.5000  0.0000  0.0000
U  0.5000  0.5000  0.5000

Values from the calculation:
For the formation energy from the elements, the calculation gives 11.54 eV/f.u. The density of states at the Fermi level is 24.0 states/eV/cell. As for the final energy: -7.060 eV per atom. Its symmetry is Pm-3m (221).

***

Entry 8:
First-principles (GGA-PBE) data for SrV after structural relaxation, as listed in Alexandria via LeMat-Bulk.

Lattice parameters (Å, degrees): 3.3437 6.0195 6.0245 107.40 94.30 94.22
Fractional coordinates of all 4 atoms:
Sr  0.0030  0.1917  0.3085
Sr  0.9970  0.8083  0.6915
V  0.4099  0.6190  0.1182
V  0.5901  0.3810  0.8818

Values from the calculation:
For the excess energy over the best structure of this formula in the dataset, the calculation gives 12 kJ/mol of formula units. For the formation energy from the elements, the calculation gives 1.38 eV/f.u. The density of states at the Fermi level is 3.7 states/eV/cell. As for the final energy: -4.711 eV per atom. Its symmetry is P-1 (2).